No. 1
A plane-wave DFT calculation with PBE was carried out for an optimized crystal structure of Ag12SnAu2.

Cell lengths 5.3284, 5.3284, 21.5788 Å; angles 90.00, 90.00, 90.00 degrees
Last column: nearest neighbours and their distance in Å.
Element x y z (fractional)
1 Ag 0.5000 0.5000 0.6597  5 Ag 2.73-2.89, 4 Au 2.99
2 Ag 0.1814 0.3186 0.4391  8 Ag 2.73-2.89
3 Ag 0.6892 0.8108 0.8854  7 Ag 2.74-2.89, 1 Sn 2.85
4 Ag 0.3186 0.8186 0.4391  8 Ag 2.73-2.89
5 Ag 0.6814 0.1814 0.4391  8 Ag 2.73-2.89
6 Ag 0.0000 0.0000 0.2140  5 Ag 2.73-2.89, 4 Au 2.99
7 Ag 0.8186 0.6814 0.4391  8 Ag 2.73-2.89
8 Ag 0.1892 0.6892 0.8854  7 Ag 2.74-2.89, 1 Sn 2.85
9 Ag 0.5000 0.5000 0.2140  5 Ag 2.73-2.89, 4 Au 2.99
10 Au 0.0000 0.5000 0.2774  8 Ag 2.99
11 Ag 0.0000 0.0000 0.7860  5 Ag 2.73-2.89, 4 Au 2.99
12 Ag 0.1892 0.3108 0.1146  7 Ag 2.74-2.89, 1 Sn 2.85
13 Au 0.5000 0.0000 0.7226  8 Ag 2.99
14 Ag 0.0000 0.0000 0.3403  5 Ag 2.73-2.89, 4 Au 2.99
15 Ag 0.5000 0.5000 0.3403  5 Ag 2.73-2.89, 4 Au 2.99
16 Ag 0.8108 0.3108 0.8854  7 Ag 2.74-2.89, 1 Sn 2.85
17 Ag 0.8186 0.3186 0.5609  8 Ag 2.73-2.89
18 Ag 0.6814 0.8186 0.5609  8 Ag 2.73-2.89
19 Au 0.5000 0.0000 0.2774  8 Ag 2.99
20 Sn 0.0000 0.5000 0.0000  4 Ag 2.85
21 Ag 0.8108 0.6892 0.1146  7 Ag 2.74-2.89, 1 Sn 2.85
22 Ag 0.1814 0.6814 0.5609  8 Ag 2.73-2.89
23 Ag 0.3108 0.8108 0.1146  7 Ag 2.74-2.89, 1 Sn 2.85
24 Ag 0.6892 0.1892 0.1146  7 Ag 2.74-2.89, 1 Sn 2.85
25 Ag 0.0000 0.0000 0.6597  5 Ag 2.73-2.89, 4 Au 2.99
26 Ag 0.3108 0.1892 0.8854  7 Ag 2.74-2.89, 1 Sn 2.85
27 Ag 0.5000 0.5000 0.7860  5 Ag 2.73-2.89, 4 Au 2.99
28 Ag 0.3186 0.1814 0.5609  8 Ag 2.73-2.89
29 Sn 0.5000 0.0000 0.0000  4 Ag 2.85
30 Au 0.0000 0.5000 0.7226  8 Ag 2.99

The total energy comes out at -2.785 eV/atom.

=====

No. 2
A plane-wave DFT calculation with PBE was carried out for an optimized crystal structure of Ca2MgGaO.

Cell lengths 4.8428, 4.2661, 4.8428 Å; angles 90.00, 90.00, 90.00 degrees
Last column: nearest neighbours and their distance in Å.
Element x y z (fractional)
1 Ca 0.0000 0.0000 0.5000  2 O 2.42
2 Ca 0.5000 0.0000 0.0000  2 O 2.42
3 O 0.0000 0.0000 0.0000  2 Mg 2.13
4 Ga 0.5000 0.5000 0.5000  8 Ca 3.23, 4 Mg 3.42
5 Mg 0.0000 0.5000 0.0000  2 O 2.13

The total energy comes out at -3.975 eV/atom. The calculation puts the formation energy (no corrections) at -1.258 eV/atom.

=====

No. 3
A plane-wave DFT calculation with PBE was carried out for an optimized crystal structure of CdAg2Au.

Cell lengths 3.1209, 3.1209, 7.6804 Å; angles 90.00, 90.00, 90.00 degrees
Last column: nearest neighbours and their distance in Å.
Element x y z (fractional)
1 Cd 0.5000 0.5000 0.7478  4 Au 2.93, 4 Ag 2.96-2.97, 4 Cd 3.12
2 Au 0.0000 0.0000 0.4960  4 Ag 2.90, 4 Cd 2.93, 4 Au 3.12
3 Ag 0.5000 0.5000 0.2506  8 Ag 2.90-3.12, 4 Au 2.90
4 Ag 0.0000 0.0000 0.0056  8 Ag 2.90-3.12, 4 Cd 2.96-2.97

The total energy comes out at -2.529 eV/atom.

=====

No. 4
A plane-wave DFT calculation with PBE was carried out for an optimized crystal structure of Pm3Sn3Rh.

Cell lengths 4.5785, 6.1337, 14.5690 Å; angles 84.19, 80.96, 68.09 degrees
Last column: nearest neighbours and their distance in Å.
Element x y z (fractional)
1 Sn 0.8521 0.7605 0.5354  3 Rh 2.68-2.85
2 Pm 0.5227 0.3359 0.6187  3 Rh 3.17-3.41, 7 Sn 3.20-3.54
3 Sn 0.8756 0.1725 0.0764  2 Sn 2.98-3.01, 5 Pm 3.14-3.32
4 Pm 0.4773 0.6641 0.3813  3 Rh 3.17-3.41, 7 Sn 3.20-3.54
5 Pm 0.4011 0.2765 0.9212  7 Sn 3.14-3.43
6 Rh 0.7539 0.1065 0.3858  4 Sn 2.68-2.85
7 Pm 0.5989 0.7235 0.0788  7 Sn 3.14-3.43
8 Sn 0.0275 0.1808 0.7643  1 Rh 2.77, 1 Sn 2.98
9 Sn 0.9725 0.8192 0.2357  1 Rh 2.77, 1 Sn 2.98
10 Sn 0.1479 0.2395 0.4646  3 Rh 2.68-2.85
11 Sn 0.1244 0.8275 0.9236  2 Sn 2.98-3.01, 5 Pm 3.14-3.32
12 Rh 0.2461 0.8935 0.6142  4 Sn 2.68-2.85
13 Pm 0.7402 0.7601 0.7595  2 Rh 3.17, 6 Sn 3.22-3.32
14 Pm 0.2598 0.2399 0.2405  2 Rh 3.17, 6 Sn 3.22-3.32

The calculation puts the energy above the most stable polymorph in this dataset at 0 meV per atom. The total energy comes out at -5.601 eV/atom.

=====

No. 5
A plane-wave DFT calculation with PBE was carried out for an optimized crystal structure of LiScInCl6.

Cell lengths 6.5091, 6.5091, 6.0299 Å; angles 90.00, 90.00, 60.00 degrees
Last column: nearest neighbours and their distance in Å.
Element x y z (fractional)
1 Cl 0.6503 0.3562 0.7339  1 Sc 2.51, 1 Li 2.56, 1 In 2.80
2 Cl 0.3562 0.6504 0.2661  1 Sc 2.51, 1 Li 2.56, 1 In 2.80
3 Cl 0.6503 0.9935 0.2661  1 Sc 2.51, 1 Li 2.56, 1 In 2.80
4 In 0.0000 0.0000 0.0000  6 Cl 2.80
5 Cl 0.9935 0.3562 0.2661  1 Sc 2.51, 1 Li 2.56, 1 In 2.80
6 Cl 0.9935 0.6503 0.7339  1 Sc 2.51, 1 Li 2.56, 1 In 2.80
7 Li 0.3333 0.3333 0.4999  6 Cl 2.56
8 Cl 0.3562 0.9935 0.7339  1 Sc 2.51, 1 Li 2.56, 1 In 2.80
9 Sc 0.6666 0.6667 0.5000  6 Cl 2.51

The total energy comes out at -4.045 eV/atom. The calculation puts the formation energy (no corrections) at -1.594 eV/atom.

=====

No. 6
A plane-wave DFT calculation with PBE was carried out for an optimized crystal structure of TcSbRu2.

Cell lengths 2.9716, 2.9716, 7.1480 Å; angles 90.00, 90.00, 90.00 degrees
Last column: nearest neighbours and their distance in Å.
Element x y z (fractional)
1 Sb 0.0000 0.0000 0.4914  4 Ru 2.71, 4 Tc 2.87, 4 Sb 2.97
2 Tc 0.5000 0.5000 0.7644  4 Ru 2.66, 4 Sb 2.87, 4 Tc 2.97
3 Ru 0.5000 0.5000 0.2528  4 Sb 2.71, 8 Ru 2.81-2.97
4 Ru 0.0000 0.0000 0.9915  4 Tc 2.66, 8 Ru 2.81-2.97

The total energy comes out at -7.983 eV/atom. The calculation puts the formation energy (no corrections) at 0.277 eV/atom.

=====

No. 7
A plane-wave DFT calculation with PBE was carried out for an optimized crystal structure of TmIn3Pt2.

Cell lengths 4.0436, 7.3450, 8.6062 Å; angles 90.00, 90.00, 90.00 degrees
Last column: nearest neighbours and their distance in Å.
Element x y z (fractional)
1 In 0.5000 0.1371 0.8169  4 Pt 2.72-2.90
2 Pt 0.5000 0.7500 0.8818  6 In 2.72-2.91, 1 Tm 3.03
3 In 0.0000 0.9667 0.0945  5 Pt 2.91-3.16, 2 In 3.24
4 In 0.0000 0.8628 0.6876  4 Pt 2.72-2.89
5 In 0.0000 0.4667 0.9055  5 Pt 2.91-3.16, 2 In 3.24
6 Pt 0.0000 0.7466 0.3871  5 In 2.72-2.99, 4 Tm 2.95-3.04
7 Tm 0.5000 0.5368 0.5810  5 Pt 2.95-3.04, 2 In 3.27
8 In 0.0000 0.3628 0.3124  4 Pt 2.72-2.89
9 In 0.5000 0.6371 0.1831  4 Pt 2.72-2.90
10 Pt 0.5000 0.2500 0.1182  6 In 2.72-2.91, 1 Tm 3.03
11 Tm 0.5000 0.0368 0.4190  5 Pt 2.95-3.04, 2 In 3.27
12 Pt 0.0000 0.2466 0.6129  5 In 2.72-2.99, 4 Tm 2.95-3.04

The total energy comes out at -4.828 eV/atom.

=====

No. 8
A plane-wave DFT calculation with PBE was carried out for an optimized crystal structure of Te2PbCl.

Cell lengths 10.2306, 10.2306, 7.7396 Å; angles 48.63, 48.63, 90.00 degrees
Last column: nearest neighbours and their distance in Å.
Element x y z (fractional)
1 Cl 0.5000 0.5000 0.0000  2 Pb 2.75
2 Te 0.0712 0.6250 0.2500  2 Te 2.96
3 Te 0.6788 0.1250 0.2500  2 Te 2.96
4 Cl 0.2500 0.7500 0.5000  2 Pb 2.75
5 Pb 0.7500 0.2500 0.5000  2 Cl 2.75
6 Te 0.8750 0.9288 0.7500  2 Te 2.96
7 Te 0.3750 0.3212 0.7500  2 Te 2.96
8 Pb 0.0000 0.0000 0.0000  2 Cl 2.75

The calculation puts the energy above the most stable polymorph in this dataset at 34 meV per atom. The total energy comes out at -3.323 eV/atom. The calculation puts the formation energy (no corrections) at -0.364 eV/atom.

=====

Please write out number 6 again, unchanged.
A plane-wave DFT calculation with PBE was carried out for an optimized crystal structure of TcSbRu2.

Cell lengths 2.9716, 2.9716, 7.1480 Å; angles 90.00, 90.00, 90.00 degrees
Last column: nearest neighbours and their distance in Å.
Element x y z (fractional)
1 Sb 0.0000 0.0000 0.4914  4 Ru 2.71, 4 Tc 2.87, 4 Sb 2.97
2 Tc 0.5000 0.5000 0.7644  4 Ru 2.66, 4 Sb 2.87, 4 Tc 2.97
3 Ru 0.5000 0.5000 0.2528  4 Sb 2.71, 8 Ru 2.81-2.97
4 Ru 0.0000 0.0000 0.9915  4 Tc 2.66, 8 Ru 2.81-2.97

The total energy comes out at -7.983 eV/atom. The calculation puts the formation energy (no corrections) at 0.277 eV/atom.